[1]
The following is a DFT calculation (PBE) of a geometry-optimized LaMg2Pt structure.

Cell and atoms, written as CIF:
```
data_LaMg2Pt
_chemical_formula_sum 'La2 Mg4 Pt2'
_space_group_name_H-M_alt 'I m m m'
_space_group_IT_number 71
_space_group_name_Hall '-I 2 2'
_cell_length_a 3.410
_cell_length_b 5.057
_cell_length_c 11.245
_cell_angle_alpha 90.00
_cell_angle_beta 90.00
_cell_angle_gamma 90.00
loop_
_atom_site_label
_atom_site_fract_x
_atom_site_fract_y
_atom_site_fract_z
La1 0.000 0.000 0.000
Mg1 0.000 0.500 0.202
Pt1 0.000 0.000 0.500
```

Values from the calculation:
total energy	-4.041	eV/atom
energy of formation from the pure elements	-0.502	eV/atom
total moment	0.000	μB per atom
density of states at the Fermi level	0.76	states/eV per atom

***

[2]
The following is a DFT calculation (PBE) of a geometry-optimized LaMg2Pt structure.

Cell and atoms, written as CIF:
```
data_LaMg2Pt
_chemical_formula_sum 'La1 Mg2 Pt1'
_space_group_name_H-M_alt 'P 1 2/m 1'
_space_group_IT_number 10
_space_group_name_Hall '-P 2y'
_cell_length_a 4.597
_cell_length_b 4.613
_cell_length_c 5.261
_cell_angle_alpha 90.00
_cell_angle_beta 111.30
_cell_angle_gamma 90.00
loop_
_atom_site_label
_atom_site_fract_x
_atom_site_fract_y
_atom_site_fract_z
La1 0.000 0.000 0.000
Mg1 0.344 0.500 0.689
Pt1 0.500 0.000 0.500
```

Values from the calculation:
total energy	-4.042	eV/atom
energy of formation from the pure elements	-0.502	eV/atom
total moment	0.000	μB per atom
density of states at the Fermi level	0.83	states/eV per atom

***

[3]
The following is a DFT calculation (PBE) of a geometry-optimized LaMgPt3 structure.

Cell and atoms, written as CIF:
```
data_LaMgPt3
_chemical_formula_sum 'La1 Mg1 Pt3'
_space_group_name_H-M_alt 'P m -3 m'
_space_group_IT_number 221
_space_group_name_Hall '-P 4 2 3'
_cell_length_a 5.251
_cell_length_b 5.251
_cell_length_c 5.251
_cell_angle_alpha 90.00
_cell_angle_beta 90.00
_cell_angle_gamma 90.00
loop_
_atom_site_label
_atom_site_fract_x
_atom_site_fract_y
_atom_site_fract_z
La1 0.000 0.000 0.000
Mg1 0.500 0.500 0.500
Pt1 0.000 0.000 0.500
```

Values from the calculation:
total energy	-4.327	eV/atom
energy of formation from the pure elements	0.602	eV/atom
total moment	0.000	μB per atom
density of states at the Fermi level	1.19	states/eV per atom

***

[4]
The following is a DFT calculation (PBE) of a geometry-optimized LaMg2Pt structure.

Cell and atoms, written as CIF:
```
data_LaMg2Pt
_chemical_formula_sum 'La4 Mg8 Pt4'
_space_group_name_H-M_alt 'I -4 2 d'
_space_group_IT_number 122
_space_group_name_Hall 'I -4 2bw'
_cell_length_a 4.179
_cell_length_b 4.179
_cell_length_c 22.943
_cell_angle_alpha 90.00
_cell_angle_beta 90.00
_cell_angle_gamma 90.00
loop_
_atom_site_label
_atom_site_fract_x
_atom_site_fract_y
_atom_site_fract_z
La1 0.000 0.000 0.000
Mg1 0.229 0.250 0.625
Pt1 0.000 0.000 0.500
```

Values from the calculation:
total energy	-3.878	eV/atom
energy of formation from the pure elements	-0.338	eV/atom
total moment	0.000	μB per atom
density of states at the Fermi level	0.55	states/eV per atom

***

[5]
The following is a DFT calculation (PBE) of a geometry-optimized LaMgScPt2 structure.

Cell and atoms, written as CIF:
```
data_LaMgScPt2
_chemical_formula_sum 'La2 Mg2 Sc2 Pt4'
_space_group_name_H-M_alt 'I -4 m 2'
_space_group_IT_number 119
_space_group_name_Hall 'I -4 -2'
_cell_length_a 4.222
_cell_length_b 4.222
_cell_length_c 12.421
_cell_angle_alpha 90.00
_cell_angle_beta 90.00
_cell_angle_gamma 90.00
loop_
_atom_site_label
_atom_site_fract_x
_atom_site_fract_y
_atom_site_fract_z
La1 0.000 0.000 0.000
Mg1 0.000 0.500 0.250
Sc1 0.000 0.500 0.750
Pt1 0.000 0.000 0.389
```

Values from the calculation:
total energy	-5.987	eV/atom
energy of formation from the pure elements	-1.000	eV/atom
total moment	0.000	μB per atom
density of states at the Fermi level	0.58	states/eV per atom

***

[6]
The following is a DFT calculation (PBE) of a geometry-optimized LaMgSc2Pt2 structure.

Cell and atoms, written as CIF:
```
data_LaMgSc2Pt2
_chemical_formula_sum 'La1 Mg1 Sc2 Pt2'
_space_group_name_H-M_alt 'P -3 m 1'
_space_group_IT_number 164
_space_group_name_Hall '-P 3 2"'
_cell_length_a 4.7601
_cell_length_b 4.7601
_cell_length_c 6.7534
_cell_angle_alpha 90.00
_cell_angle_beta 90.00
_cell_angle_gamma 120.00
loop_
_atom_site_label
_atom_site_fract_x
_atom_site_fract_y
_atom_site_fract_z
La1 0.0000 0.0000 0.0000
Mg1 0.0000 0.0000 0.5000
Sc1 0.3333 0.6667 0.6652
Pt1 0.3333 0.6667 0.2680
```

Values from the calculation:
total energy	-6.114	eV/atom
energy of formation from the pure elements	-0.903	eV/atom
total moment	0.000	μB per atom
density of states at the Fermi level	0.92	states/eV per atom

***

[7]
The following is a DFT calculation (PBE) of a geometry-optimized LaMgSi2Pt structure.

Cell and atoms, written as CIF:
```
data_LaMgSi2Pt
_chemical_formula_sum 'La1 Mg1 Si2 Pt1'
_space_group_name_H-M_alt 'P 4/m m m'
_space_group_IT_number 123
_space_group_name_Hall '-P 4 2'
_cell_length_a 5.298
_cell_length_b 5.298
_cell_length_c 5.712
_cell_angle_alpha 90.00
_cell_angle_beta 90.00
_cell_angle_gamma 90.00
loop_
_atom_site_label
_atom_site_fract_x
_atom_site_fract_y
_atom_site_fract_z
La1 0.000 0.000 0.000
Mg1 0.000 0.000 0.500
Si1 0.000 0.500 0.000
Pt1 0.500 0.500 0.500
```

Values from the calculation:
total energy	-3.019	eV/atom
total moment	0.000	μB per atom
uncorrected formation energy	1.663	eV per atom
density of states at the Fermi level	1.32	states/eV per atom

***

[8]
The following is a DFT calculation (PBE) of a geometry-optimized La3MgSi2Pt9 structure.

Cell and atoms, written as CIF:
```
data_La3MgSi2Pt9
_chemical_formula_sum 'La3 Mg1 Si2 Pt9'
_space_group_name_H-M_alt 'P -3 m 1'
_space_group_IT_number 164
_space_group_name_Hall '-P 3 2"'
_cell_length_a 5.8065
_cell_length_b 5.8065
_cell_length_c 10.8372
_cell_angle_alpha 90.00
_cell_angle_beta 90.00
_cell_angle_gamma 120.00
loop_
_atom_site_label
_atom_site_fract_x
_atom_site_fract_y
_atom_site_fract_z
La1 0.0000 0.0000 0.0000
La2 0.3333 0.6667 0.6097
Mg1 0.0000 0.0000 0.5000
Si1 0.3333 0.6667 0.1601
Pt1 0.0000 0.5000 0.0000
Pt2 0.1610 0.3220 0.3080
```

Values from the calculation:
total energy	-6.297	eV/atom
total moment	0.000	μB per atom
uncorrected formation energy	-0.857	eV per atom
density of states at the Fermi level	0.36	states/eV per atom

***

[9]
The following is a DFT calculation (PBE) of a geometry-optimized LaMgSi2Pt2 structure.

Cell and atoms, written as CIF:
```
data_LaMgSi2Pt2
_chemical_formula_sum 'La1 Mg1 Si2 Pt2'
_space_group_name_H-M_alt 'P -3 m 1'
_space_group_IT_number 164
_space_group_name_Hall '-P 3 2"'
_cell_length_a 4.2791
_cell_length_b 4.2791
_cell_length_c 7.1571
_cell_angle_alpha 90.00
_cell_angle_beta 90.00
_cell_angle_gamma 120.00
loop_
_atom_site_label
_atom_site_fract_x
_atom_site_fract_y
_atom_site_fract_z
La1 0.0000 0.0000 0.0000
Mg1 0.0000 0.0000 0.5000
Si1 0.3333 0.6667 0.7031
Pt1 0.3333 0.6667 0.3140
```

Values from the calculation:
total energy	-5.876	eV/atom
total moment	0.000	μB per atom
uncorrected formation energy	-0.968	eV per atom
density of states at the Fermi level	0.40	states/eV per atom

***

[10]
The following is a DFT calculation (PBE) of a geometry-optimized La2MgSi3Pt4 structure.

Cell and atoms, written as CIF:
```
data_La2MgSi3Pt4
_chemical_formula_sum 'La2 Mg1 Si3 Pt4'
_space_group_name_H-M_alt 'P -4 m 2'
_space_group_IT_number 115
_space_group_name_Hall 'P -4 -2'
_cell_length_a 4.331
_cell_length_b 4.331
_cell_length_c 10.153
_cell_angle_alpha 90.00
_cell_angle_beta 90.00
_cell_angle_gamma 90.00
loop_
_atom_site_label
_atom_site_fract_x
_atom_site_fract_y
_atom_site_fract_z
La1 0.000 0.500 0.248
Mg1 0.000 0.000 0.500
Si1 0.000 0.500 0.876
Si2 0.500 0.500 0.500
Pt1 0.000 0.000 0.000
Pt2 0.000 0.500 0.638
Pt3 0.500 0.500 0.000
```

Values from the calculation:
total energy	-6.270	eV/atom
total moment	0.000	μB per atom
uncorrected formation energy	-1.082	eV per atom
density of states at the Fermi level	0.31	states/eV per atom

***

[11]
The following is a DFT calculation (PBE) of a geometry-optimized LaMgSnPt3 structure.

Cell and atoms, written as CIF:
```
data_LaMgSnPt3
_chemical_formula_sum 'La4 Mg4 Sn4 Pt12'
_space_group_name_H-M_alt 'C m c m'
_space_group_IT_number 63
_space_group_name_Hall '-C 2c 2'
_cell_length_a 5.775
_cell_length_b 17.336
_cell_length_c 5.780
_cell_angle_alpha 90.00
_cell_angle_beta 90.00
_cell_angle_gamma 90.00
loop_
_atom_site_label
_atom_site_fract_x
_atom_site_fract_y
_atom_site_fract_z
La1 0.000 0.221 0.250
Mg1 0.000 0.101 0.750
Sn1 0.000 0.406 0.750
Pt1 0.000 0.253 0.750
Pt2 0.237 0.000 0.000
```

Values from the calculation:
total energy	-5.459	eV/atom
energy of formation from the pure elements	-0.684	eV/atom
total moment	0.000	μB per atom
density of states at the Fermi level	0.33	states/eV per atom

***

[12]
The following is a DFT calculation (PBE) of a geometry-optimized SrLaMg2Pt structure.

Cell and atoms, written as CIF:
```
data_SrLaMg2Pt
_chemical_formula_sum 'Sr1 La1 Mg2 Pt1'
_space_group_name_H-M_alt 'P 4/m m m'
_space_group_IT_number 123
_space_group_name_Hall '-P 4 2'
_cell_length_a 5.345
_cell_length_b 5.345
_cell_length_c 5.458
_cell_angle_alpha 90.00
_cell_angle_beta 90.00
_cell_angle_gamma 90.00
loop_
_atom_site_label
_atom_site_fract_x
_atom_site_fract_y
_atom_site_fract_z
Sr1 0.000 0.000 0.000
La1 0.500 0.500 0.000
Mg1 0.000 0.500 0.500
Pt1 0.500 0.500 0.500
```

Values from the calculation:
total energy	-3.615	eV/atom
energy of formation from the pure elements	-0.448	eV/atom
total moment	0.000	μB per atom
density of states at the Fermi level	0.46	states/eV per atom